1.
VASP calculation (GGA-PBE) on a geometry-optimized GdCdAgAu structure.

Unit cell a=4.9792 b=4.9792 c=4.9792 alpha=60.00 beta=60.00 gamma=60.00
Element x y z (fractional)
Gd  0.2500  0.2500  0.2500
Au  0.5000  0.5000  0.5000
Ag  0.0000  0.0000  0.0000
Cd  0.7500  0.7500  0.7500

Summary:
Final energy ... -23.0 eV/cell
SG ... No. 216



2.
VASP calculation (GGA-PBE) on a geometry-optimized CdAgGeAu structure.

Unit cell a=4.7814 b=4.7814 c=4.7814 alpha=60.00 beta=60.00 gamma=60.00
Element x y z (fractional)
Ge  0.2500  0.2500  0.2500
Au  0.0000  0.0000  0.0000
Ag  0.5000  0.5000  0.5000
Cd  0.7500  0.7500  0.7500

Summary:
Final energy ... -11.3 eV/cell
SG ... No. 216



3.
VASP calculation (GGA-PBE) on a geometry-optimized CdAg2HAu structure.

Unit cell a=4.4394 b=4.4394 c=3.9506 alpha=90.00 beta=90.00 gamma=90.00
Element x y z (fractional)
H  0.0000  0.0000  0.0000
Au  0.0000  0.0000  0.5000
Ag  0.0000  0.5000  0.0000
Ag  0.5000  0.0000  0.0000
Cd  0.5000  0.5000  0.5000

Summary:
Final energy ... -12.7 eV/cell
Energy relative to the lowest polymorph listed for this composition ... 0 meV per atom
SG ... No. 123



Which of these has the lowest final energy?
GdCdAgAu



Among the records above, which one has the highest final energy?
CdAgGeAu